(1)
Density functional theory data (GGA-PBE) for TiMnBe after structural relaxation.

Summary:
formation enthalpy at 0 K: -23.4 kJ/mol of atoms
energy relative to the lowest polymorph listed for this composition: 0.00 eV per formula unit
uncorrected energy: -7.17 eV per atom

Lattice parameters (Å, degrees): 4.640 4.640 4.640 89.53 120.04 120.51
Atoms (fractional coordinates):
Ti 0.250 0.120 0.870
Ti 0.750 0.880 0.130
Mn 0.000 0.500 0.500
Mn 0.500 0.000 0.500
Be 0.500 0.500 0.500
Be 0.000 0.500 0.000

(2)
Density functional theory data (GGA-PBE) for Ti2Mn2BeV5 after structural relaxation.

Summary:
formation enthalpy at 0 K: 4.7 kJ/mol of atoms
uncorrected energy: -8.30 eV per atom

Lattice parameters (Å, degrees): 2.873 9.703 9.703 90.00 90.00 90.00
Atoms (fractional coordinates):
Ti 0.000 0.674 0.174
Ti 0.000 0.326 0.826
Ti 0.000 0.174 0.326
Ti 0.000 0.826 0.674
Mn 0.000 0.135 0.635
Mn 0.000 0.865 0.365
Mn 0.000 0.635 0.865
Mn 0.000 0.365 0.135
Be 0.000 0.000 0.000
Be 0.000 0.500 0.500
V 0.500 0.194 0.055
V 0.500 0.806 0.945
V 0.500 0.055 0.806
V 0.500 0.694 0.445
V 0.500 0.945 0.194
V 0.500 0.306 0.555
V 0.500 0.555 0.694
V 0.500 0.445 0.306
V 0.500 0.500 0.000
V 0.500 0.000 0.500

In the order shown, the computed spin magnetization values come out to 0.00 0.00 μB per cell.